No. 1
DFT (GGA-PBE) results for TbSmDyGa after structural relaxation. Values from VASP.

Cell and atoms, written as Quantum ESPRESSO input:
```
&SYSTEM
  ibrav = 0, nat = 4, ntyp = 4
/
ATOMIC_SPECIES
Tb 158.93 Tb.upf
Ga 69.72 Ga.upf
Sm 150.36 Sm.upf
Dy 162.50 Dy.upf
ATOMIC_POSITIONS crystal
Tb 0.5000 0.5000 0.5000
Ga 0.0000 0.0000 0.0000
Sm 0.2500 0.2500 0.2500
Dy 0.7500 0.7500 0.7500
CELL_PARAMETERS angstrom
-0.2537 1.1359 5.2297
-4.7214 1.1162 2.2729
-2.2312 -3.4930 3.3948
```

Computed properties:
DFT formation energy: -0.0737 eV/atom
symmetry: F-43m
V: 27.19 A^3/atom
electronic total energy: -4.32 eV per atom
DOS at the Fermi energy: 1.447 states/eV per atom

***

No. 2
DFT (GGA-PBE) results for CsNb3Pt after structural relaxation. Values from VASP.

Cell and atoms, written as Quantum ESPRESSO input:
```
&SYSTEM
  ibrav = 0, nat = 5, ntyp = 3
/
ATOMIC_SPECIES
Cs 132.91 Cs.upf
Nb 92.91 Nb.upf
Pt 195.08 Pt.upf
ATOMIC_POSITIONS crystal
Cs 0.5000 0.5000 0.5000
Nb 0.0000 0.5000 0.0000
Nb 0.0000 0.0000 0.5000
Nb 0.5000 0.0000 0.0000
Pt 0.0000 0.0000 0.0000
CELL_PARAMETERS angstrom
5.1175 0.0000 0.0000
0.0000 5.1175 0.0000
0.0000 0.0000 5.1175
```

Computed properties:
DFT formation energy: 1.3645 eV/atom
symmetry: Pm-3m
distance to the lowest polymorph of the same formula: 0.00 eV/f.u.
V: 26.80 A^3/atom
electronic total energy: -6.06 eV per atom
DOS at the Fermi energy: 1.819 states/eV per atom

***

No. 3
DFT (GGA-PBE) results for VFe3Ir12 after structural relaxation. Values from VASP.

Cell and atoms, written as Quantum ESPRESSO input:
```
&SYSTEM
  ibrav = 0, nat = 16, ntyp = 3
/
ATOMIC_SPECIES
V 50.94 V.upf
Fe 55.84 Fe.upf
Ir 192.22 Ir.upf
ATOMIC_POSITIONS crystal
V 0.0000 0.0000 0.0000
Fe 0.0000 0.0000 0.2534
Fe 0.0000 0.0000 0.5000
Fe 0.0000 0.0000 0.7466
Ir 0.5000 0.5000 0.0000
Ir 0.5000 0.5000 0.2499
Ir 0.5000 0.5000 0.5000
Ir 0.5000 0.5000 0.7501
Ir 0.5000 0.0000 0.1239
Ir 0.5000 0.0000 0.3752
Ir 0.5000 0.0000 0.6248
Ir 0.5000 0.0000 0.8761
Ir 0.0000 0.5000 0.1239
Ir 0.0000 0.5000 0.3752
Ir 0.0000 0.5000 0.6248
Ir 0.0000 0.5000 0.8761
CELL_PARAMETERS angstrom
-2.4295 -0.2702 2.9430
2.9265 -0.7507 2.3470
1.6483 14.9790 2.7359
```

Computed properties:
DFT formation energy: -0.1702 eV/atom
symmetry: P4/mmm
V: 14.01 A^3/atom
electronic total energy: -8.97 eV per atom
DOS at the Fermi energy: 0.933 states/eV per atom